Below is crystalline H3PbCl at its relaxed geometry, with properties calculated at the PBE-GGA level.

a b c (Å): 3.9767 3.9767 3.9767
angles (deg): 90.00 90.00 90.00
Space group Pm-3m (No. 221)
Unique sites:
H 0.0000 0.0000 0.5000 x3
Pb 0.5000 0.5000 0.5000 x1
Cl 0.0000 0.0000 0.0000 x1

Fermi-level density of states: 0.29 states/eV/atom
Energy above the most stable polymorph in this dataset: 548 meV/atom

---

Below is crystalline CsCr3Pd at its relaxed geometry, with properties calculated at the PBE-GGA level.

a b c (Å): 4.6222 4.6222 4.6222
angles (deg): 90.00 90.00 90.00
Space group Pm-3m (No. 221)
Unique sites:
Cs 0.0000 0.0000 0.0000 x1
Cr 0.0000 0.0000 0.5000 x3
Pd 0.5000 0.5000 0.5000 x1

Fermi-level density of states: 2.03 states/eV/atom
Energy of formation from the pure elements: 2.956 eV per atom

---

What did the first record say?
Below is crystalline H3PbCl at its relaxed geometry, with properties calculated at the PBE-GGA level.

a b c (Å): 3.9767 3.9767 3.9767
angles (deg): 90.00 90.00 90.00
Space group Pm-3m (No. 221)
Unique sites:
H 0.0000 0.0000 0.5000 x3
Pb 0.5000 0.5000 0.5000 x1
Cl 0.0000 0.0000 0.0000 x1

Fermi-level density of states: 0.29 states/eV/atom
Energy above the most stable polymorph in this dataset: 548 meV/atom

---

Question: What is the Fermi-level density of states in the second record?
Answer: 2.03 states/eV/atom

---

What did the second record say?
Below is crystalline CsCr3Pd at its relaxed geometry, with properties calculated at the PBE-GGA level.

a b c (Å): 4.6222 4.6222 4.6222
angles (deg): 90.00 90.00 90.00
Space group Pm-3m (No. 221)
Unique sites:
Cs 0.0000 0.0000 0.0000 x1
Cr 0.0000 0.0000 0.5000 x3
Pd 0.5000 0.5000 0.5000 x1

Fermi-level density of states: 2.03 states/eV/atom
Energy of formation from the pure elements: 2.956 eV per atom